Below is LaCdBiPb after structural relaxation, with properties calculated at the GGA-PBE level.

a b c (Å): 4.9356 4.6685 5.1095
angles (deg): 90.00 90.00 90.00
Closest atoms and distances in Å follow each position.
Fractional positions:
Bi 0.0000 0.5000 0.5000  4 La 3.40, 4 Cd 3.46, 4 Pb 3.55
La 0.5000 0.0000 0.5000  4 Bi 3.40, 4 Pb 3.46, 4 Cd 3.55
Pb 0.5000 0.5000 0.0000  4 Cd 3.40, 4 La 3.46, 4 Bi 3.55
Cd 0.0000 0.0000 0.0000  4 Pb 3.40, 4 Bi 3.46, 4 La 3.55

calculated total energy	-3.855	eV per atom
space group	Pmmm, No. 47
N(E_F)	1.53	states/eV/cell
formation energy	-497	meV/atom
calculated volume	118	Å³ per cell